[1]
## Co2ReNi (PBEsol)

Data for a relaxed structure of Co2ReNi.

As for the energy relative to the elements: 0.10 eV/atom. Its size of the total moment is 0.5281 μB/atom. The value obtained for the polymorph energy (0 for the lowest one) is 132 meV per atom.

Cell and atoms, written as CIF:
```
data_Co2ReNi
_chemical_formula_sum 'Co2 Re1 Ni1'
_cell_length_a 4.357
_cell_length_b 2.540
_cell_length_c 4.403
_cell_angle_alpha 90.00
_cell_angle_beta 110.60
_cell_angle_gamma 90.00
_space_group_name_H-M_alt 'P 1 2/m 1'
_space_group_IT_number 10
loop_
_space_group_symop_operation_xyz
'x,y,z'
'-x,-y,-z'
'-x,y,-z'
'x,-y,z'
loop_
_atom_site_label
_atom_site_type_symbol
_atom_site_fract_x
_atom_site_fract_y
_atom_site_fract_z
Co1 Co 0.000 0.000 0.000
Co2 Co 0.000 0.500 0.500
Re1 Re 0.500 0.000 0.500
Ni1 Ni 0.500 0.500 0.000
```

***

[2]
## KMg2In (PBEsol)

Data for a relaxed structure of KMg2In.

As for the energy relative to the elements: 0.03 eV/atom. Its size of the total moment is 0.0000 μB/atom.

Cell and atoms, written as CIF:
```
data_KMg2In
_chemical_formula_sum 'K1 Mg2 In1'
_cell_length_a 3.608
_cell_length_b 3.608
_cell_length_c 8.941
_cell_angle_alpha 90.00
_cell_angle_beta 90.00
_cell_angle_gamma 90.00
_space_group_name_H-M_alt 'P 4 m m'
_space_group_IT_number 99
loop_
_space_group_symop_operation_xyz
'x,y,z'
'-y,x,z'
'-x,-y,z'
'y,-x,z'
'-x,y,z'
'y,x,z'
'x,-y,z'
'-y,-x,z'
loop_
_atom_site_label
_atom_site_type_symbol
_atom_site_fract_x
_atom_site_fract_y
_atom_site_fract_z
K1 K 0.000 0.000 0.000
Mg1 Mg 0.000 0.000 0.526
Mg2 Mg 0.500 0.500 0.325
In1 In 0.500 0.500 0.710
```

***

[3]
## NaCu3As (PBEsol)

Data for a relaxed structure of NaCu3As.

As for the energy relative to the elements: 1.35 eV/atom. Its size of the total moment is 0.0000 μB/atom.

Cell and atoms, written as CIF:
```
data_NaCu3As
_chemical_formula_sum 'Na1 Cu3 As1'
_cell_length_a 4.419
_cell_length_b 4.419
_cell_length_c 4.419
_cell_angle_alpha 90.00
_cell_angle_beta 90.00
_cell_angle_gamma 90.00
_space_group_name_H-M_alt 'P m -3 m'
_space_group_IT_number 221
_space_group_name_Hall '-P 4 2 3'
loop_
_atom_site_label
_atom_site_type_symbol
_atom_site_fract_x
_atom_site_fract_y
_atom_site_fract_z
Na1 Na 0.000 0.000 0.000
Cu1 Cu 0.000 0.000 0.500
As1 As 0.500 0.500 0.500
```

***

[4]
## Li2CaTe (PBEsol)

Data for a relaxed structure of Li2CaTe.

The calculation puts the formation energy without anion corrections at -0.57 eV per atom. Its size of the total moment is 0.0002 μB/atom.

Cell and atoms, written as CIF:
```
data_Li2CaTe
_chemical_formula_sum 'Li4 Ca2 Te2'
_cell_length_a 3.884
_cell_length_b 4.853
_cell_length_c 11.287
_cell_angle_alpha 90.00
_cell_angle_beta 90.00
_cell_angle_gamma 90.00
_space_group_name_H-M_alt 'I m m m'
_space_group_IT_number 71
_space_group_name_Hall '-I 2 2'
loop_
_atom_site_label
_atom_site_type_symbol
_atom_site_fract_x
_atom_site_fract_y
_atom_site_fract_z
Li1 Li 0.000 0.000 0.208
Ca1 Ca 0.000 0.500 0.000
Te1 Te 0.000 0.500 0.500
```

***

[5]
## LiMn2OF3 (PBEsol)

Data for a relaxed structure of LiMn2OF3.

The calculation puts the formation energy without anion corrections at -2.10 eV per atom. Its size of the total moment is 0.0000 μB/atom. The value obtained for the polymorph energy (0 for the lowest one) is 0 meV per atom.

Cell and atoms, written as CIF:
```
data_LiMn2OF3
_chemical_formula_sum 'Li4 Mn8 O4 F12'
_cell_length_a 10.423
_cell_length_b 6.134
_cell_length_c 6.163
_cell_angle_alpha 90.00
_cell_angle_beta 123.76
_cell_angle_gamma 90.00
_space_group_name_H-M_alt 'C 1 2/m 1'
_space_group_IT_number 12
loop_
_space_group_symop_operation_xyz
'x,y,z'
'-x,-y,-z'
'-x,y,-z'
'x,-y,z'
'x+1/2,y+1/2,z'
'-x+1/2,-y+1/2,-z'
'-x+1/2,y+1/2,-z'
'x+1/2,-y+1/2,z'
loop_
_atom_site_label
_atom_site_type_symbol
_atom_site_fract_x
_atom_site_fract_y
_atom_site_fract_z
Li1 Li 0.000 0.000 0.000
Li2 Li 0.000 0.000 0.500
Mn1 Mn 0.146 0.500 0.454
Mn2 Mn 0.250 0.250 0.000
O1 O 0.232 0.000 0.179
F1 F 0.005 0.237 0.264
F2 F 0.236 0.000 0.723
```

***

[6]
## Y2AgOs (PBEsol)

Data for a relaxed structure of Y2AgOs.

As for the energy relative to the elements: -0.22 eV/atom. Its size of the total moment is 0.0000 μB/atom.

Cell and atoms, written as CIF:
```
data_Y2AgOs
_chemical_formula_sum 'Y2 Ag1 Os1'
_cell_length_a 4.859
_cell_length_b 4.859
_cell_length_c 3.477
_cell_angle_alpha 90.00
_cell_angle_beta 90.00
_cell_angle_gamma 90.00
_space_group_name_H-M_alt 'P 4/m m m'
_space_group_IT_number 123
_space_group_name_Hall '-P 4 2'
loop_
_atom_site_label
_atom_site_type_symbol
_atom_site_fract_x
_atom_site_fract_y
_atom_site_fract_z
Y1 Y 0.000 0.500 0.000
Ag1 Ag 0.000 0.000 0.500
Os1 Os 0.500 0.500 0.500
```

***

[7]
## KCaC2 (PBEsol)

Data for a relaxed structure of KCaC2.

As for the energy relative to the elements: 1.87 eV/atom. Its size of the total moment is 0.0001 μB/atom.

Cell and atoms, written as CIF:
```
data_KCaC2
_chemical_formula_sum 'K4 Ca4 C8'
_cell_length_a 6.386
_cell_length_b 6.386
_cell_length_c 6.386
_cell_angle_alpha 90.00
_cell_angle_beta 90.00
_cell_angle_gamma 90.00
_space_group_name_H-M_alt 'F m -3 m'
_space_group_IT_number 225
_space_group_name_Hall '-F 4 2 3'
loop_
_atom_site_label
_atom_site_type_symbol
_atom_site_fract_x
_atom_site_fract_y
_atom_site_fract_z
K1 K 0.000 0.000 0.000
Ca1 Ca 0.000 0.000 0.500
C1 C 0.250 0.250 0.250
```

***

[8]
## Ca2AuSe (PBEsol)

Data for a relaxed structure of Ca2AuSe.

The calculation puts the formation energy without anion corrections at -1.23 eV per atom. Its size of the total moment is 0.0001 μB/atom.

Cell and atoms, written as CIF:
```
data_Ca2AuSe
_chemical_formula_sum 'Ca6 Au3 Se3'
_cell_length_a 4.1593
_cell_length_b 4.1593
_cell_length_c 20.7659
_cell_angle_alpha 90.00
_cell_angle_beta 90.00
_cell_angle_gamma 120.00
_space_group_name_H-M_alt 'R -3 m'
_space_group_IT_number 166
_space_group_name_Hall '-R 3 2"'
loop_
_atom_site_label
_atom_site_type_symbol
_atom_site_fract_x
_atom_site_fract_y
_atom_site_fract_z
Ca1 Ca 0.0000 0.0000 0.2487
Au1 Au 0.0000 0.0000 0.0000
Se1 Se 0.0000 0.0000 0.5000
```

***

[9]
## MgIr2Ru (PBEsol)

Data for a relaxed structure of MgIr2Ru.

As for the energy relative to the elements: -0.14 eV/atom. Its size of the total moment is 0.0000 μB/atom.

Cell and atoms, written as CIF:
```
data_MgIr2Ru
_chemical_formula_sum 'Mg1 Ir2 Ru1'
_cell_length_a 2.739
_cell_length_b 2.739
_cell_length_c 7.677
_cell_angle_alpha 90.00
_cell_angle_beta 90.00
_cell_angle_gamma 90.00
_space_group_name_H-M_alt 'P 4/m m m'
_space_group_IT_number 123
_space_group_name_Hall '-P 4 2'
loop_
_atom_site_label
_atom_site_type_symbol
_atom_site_fract_x
_atom_site_fract_y
_atom_site_fract_z
Mg1 Mg 0.000 0.000 0.000
Ir1 Ir 0.500 0.500 0.265
Ru1 Ru 0.000 0.000 0.500
```

***

[10]
## PtAuSe2 (PBEsol)

Data for a relaxed structure of PtAuSe2.

The calculation puts the formation energy without anion corrections at 0.02 eV per atom. Its size of the total moment is 0.0000 μB/atom.

Cell and atoms, written as CIF:
```
data_PtAuSe2
_chemical_formula_sum 'Pt1 Au1 Se2'
_cell_length_a 3.738
_cell_length_b 3.738
_cell_length_c 5.316
_cell_angle_alpha 90.00
_cell_angle_beta 90.00
_cell_angle_gamma 90.00
_space_group_name_H-M_alt 'P 4/m m m'
_space_group_IT_number 123
_space_group_name_Hall '-P 4 2'
loop_
_atom_site_label
_atom_site_type_symbol
_atom_site_fract_x
_atom_site_fract_y
_atom_site_fract_z
Pt1 Pt 0.000 0.000 0.000
Au1 Au 0.500 0.500 0.500
Se1 Se 0.000 0.000 0.500
Se2 Se 0.500 0.500 0.000
```

***

[11]
## BaCa2Mg (PBEsol)

Data for a relaxed structure of BaCa2Mg.

As for the energy relative to the elements: 0.03 eV/atom. Its size of the total moment is 0.0002 μB/atom.

Cell and atoms, written as CIF:
```
data_BaCa2Mg
_chemical_formula_sum 'Ba1 Ca2 Mg1'
_cell_length_a 4.687
_cell_length_b 5.757
_cell_length_c 5.842
_cell_angle_alpha 90.00
_cell_angle_beta 90.00
_cell_angle_gamma 90.00
_space_group_name_H-M_alt 'P m m m'
_space_group_IT_number 47
loop_
_space_group_symop_operation_xyz
'x,y,z'
'-x,-y,-z'
'-x,-y,z'
'x,y,-z'
'x,-y,-z'
'-x,y,z'
'-x,y,-z'
'x,-y,z'
loop_
_atom_site_label
_atom_site_type_symbol
_atom_site_fract_x
_atom_site_fract_y
_atom_site_fract_z
Ba1 Ba 0.000 0.000 0.000
Ca1 Ca 0.000 0.500 0.500
Ca2 Ca 0.500 0.000 0.500
Mg1 Mg 0.500 0.500 0.000
```

***

[12]
## LiY2Mg (PBEsol)

Data for a relaxed structure of LiY2Mg.

As for the energy relative to the elements: 0.03 eV/atom. Its size of the total moment is 0.0007 μB/atom.

Cell and atoms, written as CIF:
```
data_LiY2Mg
_chemical_formula_sum 'Li1 Y2 Mg1'
_cell_length_a 3.424
_cell_length_b 3.424
_cell_length_c 8.833
_cell_angle_alpha 90.00
_cell_angle_beta 90.00
_cell_angle_gamma 90.00
_space_group_name_H-M_alt 'P 4 m m'
_space_group_IT_number 99
loop_
_space_group_symop_operation_xyz
'x,y,z'
'-y,x,z'
'-x,-y,z'
'y,-x,z'
'-x,y,z'
'y,x,z'
'x,-y,z'
'-y,-x,z'
loop_
_atom_site_label
_atom_site_type_symbol
_atom_site_fract_x
_atom_site_fract_y
_atom_site_fract_z
Li1 Li 0.000 0.000 0.000
Y1 Y 0.000 0.000 0.454
Y2 Y 0.500 0.500 0.739
Mg1 Mg 0.500 0.500 0.188
```

***

[13]
## CsSnB2 (PBEsol)

Data for a relaxed structure of CsSnB2.

As for the energy relative to the elements: 1.19 eV/atom. Its size of the total moment is 0.0000 μB/atom.

Cell and atoms, written as CIF:
```
data_CsSnB2
_chemical_formula_sum 'Cs4 Sn4 B8'
_cell_length_a 5.160
_cell_length_b 5.160
_cell_length_c 14.635
_cell_angle_alpha 90.00
_cell_angle_beta 90.00
_cell_angle_gamma 90.00
_space_group_name_H-M_alt 'I 41/a m d'
_space_group_IT_number 141
loop_
_space_group_symop_operation_xyz
'x,y,z'
'-x,-y,-z'
'-y+1/4,x+3/4,z+1/4'
'y+1/4,-x+3/4,-z+1/4'
'-x+1/2,-y,z+1/2'
'x+1/2,y,-z+1/2'
'y+1/4,-x+1/4,z+3/4'
'-y+1/4,x+1/4,-z+3/4'
'x,-y,-z'
'-x,y,z'
'-y+1/4,-x+1/4,-z+3/4'
'y+1/4,x+1/4,z+3/4'
'-x+1/2,y,-z+1/2'
'x+1/2,-y,z+1/2'
'y+1/4,x+3/4,-z+1/4'
'-y+1/4,-x+3/4,z+1/4'
'x+1/2,y+1/2,z+1/2'
'-x+1/2,-y+1/2,-z+1/2'
'-y+3/4,x+1/4,z+3/4'
'y+3/4,-x+1/4,-z+3/4'
'-x,-y+1/2,z'
'x,y+1/2,-z'
'y+3/4,-x+3/4,z+1/4'
'-y+3/4,x+3/4,-z+1/4'
'x+1/2,-y+1/2,-z+1/2'
'-x+1/2,y+1/2,z+1/2'
'-y+3/4,-x+3/4,-z+1/4'
'y+3/4,x+3/4,z+1/4'
'-x,y+1/2,-z'
'x,-y+1/2,z'
'y+3/4,x+1/4,-z+3/4'
'-y+3/4,-x+1/4,z+3/4'
loop_
_atom_site_label
_atom_site_type_symbol
_atom_site_fract_x
_atom_site_fract_y
_atom_site_fract_z
Cs1 Cs 0.000 0.250 0.375
Sn1 Sn 0.000 0.250 0.875
B1 B 0.000 0.000 0.000
```

***

[14]
## Tl2CdBi2 (PBEsol)

Data for a relaxed structure of Tl2CdBi2.

As for the energy relative to the elements: 0.06 eV/atom. Its size of the total moment is 0.0000 μB/atom.

Cell and atoms, written as CIF:
```
data_Tl2CdBi2
_chemical_formula_sum 'Tl4 Cd2 Bi4'
_cell_length_a 7.746
_cell_length_b 7.746
_cell_length_c 5.187
_cell_angle_alpha 90.00
_cell_angle_beta 90.00
_cell_angle_gamma 90.00
_space_group_name_H-M_alt 'P 4/m b m'
_space_group_IT_number 127
_space_group_name_Hall '-P 4 2ab'
loop_
_atom_site_label
_atom_site_type_symbol
_atom_site_fract_x
_atom_site_fract_y
_atom_site_fract_z
Tl1 Tl 0.167 0.333 0.000
Cd1 Cd 0.000 0.000 0.500
Bi1 Bi 0.141 0.641 0.500
```